No. 1
Computed, not measured: a relaxed Ac3TlO3 crystal at the PBE-GGA level of DFT.

```
Ac3TlO3
1.0
7.636 -2.103 0.000
7.636 2.103 0.000
-6.889 0.000 11.120
Ac Tl O
6 2 6
direct
0.124 0.124 0.437
0.125 0.125 0.898
0.345 0.345 0.798
0.655 0.655 0.202
0.875 0.875 0.102
0.876 0.876 0.563
0.397 0.397 0.343
0.603 0.603 0.657
0.064 0.064 0.190
0.308 0.308 0.595
0.325 0.325 0.983
0.675 0.675 0.017
0.692 0.692 0.405
0.936 0.936 0.810
```

Results
symmetry: C2/m (12)
spin magnetization: 0.00 μB per formula unit
crystal system: monoclinic
ΔE_f (raw): -2492 meV/atom
E_tot: -94.01 eV per cell

---

No. 2
Computed, not measured: a relaxed Ac2TlO crystal at the PBE-GGA level of DFT.

```
Ac2TlO
1.0
3.491 0.000 0.000
0.000 3.491 0.000
0.000 0.000 8.414
Ac Tl O
2 1 1
direct
0.000 0.000 0.202
0.000 0.000 0.798
0.500 0.500 0.500
0.500 0.500 0.000
```

Results
symmetry: P4/mmm (123)
spin magnetization: 0.00 μB per formula unit
crystal system: tetragonal
ΔE_f (raw): -984 meV/atom
E_tot: -19.48 eV per cell
ΔE to the lowest computed polymorph: 2.43 eV/f.u.

---

No. 3
Computed, not measured: a relaxed Ac5Tl2O2 crystal at the PBE-GGA level of DFT.

```
Ac5Tl2O2
1.0
-11.018 3.692 3.633
11.018 -3.692 3.633
11.018 3.692 -3.633
Ac Tl O
10 4 4
direct
0.216 0.411 0.107
0.216 0.608 0.305
0.249 0.007 0.256
0.249 0.493 0.742
0.303 0.108 0.893
0.303 0.911 0.695
0.718 0.572 0.646
0.751 0.507 0.258
0.751 0.993 0.744
0.925 0.072 0.354
0.735 0.136 0.383
0.735 0.852 0.099
0.753 0.352 0.617
0.753 0.636 0.901
0.080 0.917 0.663
0.251 0.251 0.000
0.251 0.751 0.500
0.254 0.417 0.337
```

Results
symmetry: Ima2 (46)
spin magnetization: 0.00 μB per formula unit
crystal system: orthorhombic
ΔE_f (raw): -1321 meV/atom
E_tot: -94.15 eV per cell

---

No. 4
Computed, not measured: a relaxed AcU2TlO8 crystal at the PBE-GGA level of DFT.

```
AcU2TlO8
1.0
6.394 0.000 0.000
-3.197 5.537 0.000
0.000 0.000 8.106
Ac U Tl O
1 2 1 8
direct
0.000 0.000 0.000
0.333 0.667 0.690
0.667 0.333 0.310
0.000 0.000 0.500
0.172 0.344 0.799
0.172 0.828 0.799
0.333 0.667 0.454
0.344 0.172 0.201
0.656 0.828 0.799
0.667 0.333 0.546
0.828 0.172 0.201
0.828 0.656 0.201
```

Results
symmetry: P-3m1 (164)
spin magnetization: 0.00 μB per formula unit
crystal system: trigonal
ΔE_f (raw): -2528 meV/atom
E_tot: -99.05 eV per cell

---

No. 5
Computed, not measured: a relaxed AcUTl2O8 crystal at the PBE-GGA level of DFT.

```
AcUTl2O8
1.0
5.156 0.000 0.000
0.000 7.335 0.000
-0.025 0.000 5.170
Ac U Tl O
1 1 2 8
direct
0.000 0.000 0.000
0.000 0.500 0.000
0.500 0.261 0.500
0.500 0.739 0.500
0.184 0.289 0.185
0.184 0.711 0.185
0.295 0.500 0.706
0.325 0.000 0.676
0.675 0.000 0.324
0.705 0.500 0.294
0.816 0.289 0.815
0.816 0.711 0.815
```

Results
symmetry: P2/m (10)
spin magnetization: 0.67 μB per formula unit
crystal system: monoclinic
ΔE_f (raw): -1927 meV/atom
E_tot: -82.92 eV per cell

---

No. 6
Computed, not measured: a relaxed Ac2UTlO8 crystal at the PBE-GGA level of DFT.

```
Ac2UTlO8
1.0
4.290 0.000 0.000
0.000 8.306 0.000
-0.704 0.000 5.543
Ac U Tl O
2 1 1 8
direct
0.000 0.243 0.000
0.000 0.757 0.000
0.500 0.000 0.500
0.500 0.500 0.500
0.082 0.000 0.278
0.129 0.500 0.244
0.441 0.200 0.731
0.441 0.800 0.731
0.559 0.200 0.269
0.559 0.800 0.269
0.871 0.500 0.756
0.918 0.000 0.722
```

Results
symmetry: P2/m (10)
spin magnetization: 1.01 μB per formula unit
crystal system: monoclinic
ΔE_f (raw): -2562 meV/atom
E_tot: -92.28 eV per cell

---

No. 7
Computed, not measured: a relaxed AcUTlO6 crystal at the PBE-GGA level of DFT.

```
AcUTlO6
1.0
5.733 0.000 0.000
-2.866 4.965 0.000
0.000 0.000 10.848
Ac U Tl O
2 2 2 12
direct
0.000 0.000 0.000
0.000 0.000 0.500
0.333 0.667 0.250
0.667 0.333 0.750
0.333 0.667 0.750
0.667 0.333 0.250
0.027 0.368 0.140
0.027 0.659 0.360
0.341 0.368 0.360
0.341 0.973 0.140
0.368 0.027 0.640
0.368 0.341 0.860
0.632 0.659 0.140
0.632 0.973 0.360
0.659 0.027 0.860
0.659 0.632 0.640
0.973 0.341 0.640
0.973 0.632 0.860
```

Results
symmetry: P-31c (163)
spin magnetization: 0.00 μB per formula unit
crystal system: trigonal
ΔE_f (raw): -2515 meV/atom
E_tot: -140.30 eV per cell

---

No. 8
Computed, not measured: a relaxed AcU2TlO7 crystal at the PBE-GGA level of DFT.

```
AcU2TlO7
1.0
4.311 0.000 0.000
0.000 4.311 0.000
0.000 0.000 11.340
Ac U Tl O
1 2 1 7
direct
0.000 0.000 0.000
0.500 0.500 0.196
0.500 0.500 0.804
0.000 0.000 0.500
0.000 0.500 0.151
0.000 0.500 0.849
0.500 0.000 0.151
0.500 0.000 0.849
0.500 0.500 0.000
0.500 0.500 0.366
0.500 0.500 0.634
```

Results
symmetry: P4/mmm (123)
spin magnetization: 2.00 μB per formula unit
crystal system: tetragonal
ΔE_f (raw): -2884 meV/atom
E_tot: -95.48 eV per cell

---

- Among the records above, which one has the highest E_tot?
  Ac2TlO

---

- spin magnetization of number 7 (AcUTlO6)?
  0.00 μB per formula unit